1.
The following is a DFT calculation (GGA-PBE) of a geometry-optimized Ba2MgNb6N2O14 structure.

Values from the calculation:
energy above the most stable polymorph in this dataset: 0.005 eV per atom
uncorrected formation energy: -2.35 eV per atom
space group: Pm

a = 3.9971 Å, b = 9.7886 Å, c = 9.7845 Å
α = 84.30°, β = 90.00°, γ = 90.00°
Atoms (fractional coordinates):
Ba1 0.5000 0.7925 0.9913
Ba2 0.5000 0.1876 0.8840
Mg1 0.0000 0.4831 0.0570
Nb1 0.0000 0.9392 0.6943
Nb2 0.5000 0.7671 0.5291
Nb3 0.0000 0.5401 0.7455
Nb4 0.5000 0.4616 0.3030
Nb5 0.0000 0.2736 0.4748
Nb6 0.5000 0.1170 0.2591
N1 0.5000 0.2685 0.4235
N2 0.0000 0.1219 0.6236
O1 0.5000 0.0100 0.1154
O2 0.5000 0.8851 0.7075
O3 0.5000 0.9178 0.4051
O4 0.0000 0.7430 0.5848
O5 0.0000 0.6512 0.9009
O6 0.5000 0.6184 0.4022
O7 0.5000 0.5825 0.7093
O8 0.5000 0.5443 0.1091
O9 0.0000 0.3829 0.8795
O10 0.0000 0.4399 0.2814
O11 0.0000 0.4203 0.5932
O12 0.5000 0.2806 0.1400
O13 0.0000 0.1245 0.3085
O14 0.0000 0.9724 0.8821

=====

2.
The following is a DFT calculation (GGA-PBE) of a geometry-optimized ScCdH structure.

Values from the calculation:
energy above the most stable polymorph in this dataset: 0.042 eV per atom
space group: R-3m

a = 3.3622 Å, b = 3.3622 Å, c = 10.0536 Å
α = 80.37°, β = 80.37°, γ = 60.00°
Atoms (fractional coordinates):
Sc1 0.2894 0.2894 0.1318
Sc2 0.7106 0.7106 0.8682
H1 0.3580 0.3580 0.9260
H2 0.6420 0.6420 0.0740
Cd1 0.8741 0.8741 0.3776
Cd2 0.1259 0.1259 0.6224

=====

3.
The following is a DFT calculation (GGA-PBE) of a geometry-optimized TbDy7Sc3 structure.

Values from the calculation:
energy above the most stable polymorph in this dataset: 0.066 eV per atom
space group: P3m1

a = 8.2352 Å, b = 6.9436 Å, c = 6.9436 Å
α = 120.00°, β = 90.00°, γ = 90.00°
Atoms (fractional coordinates):
Tb1 0.4488 0.3333 0.6667
Dy1 0.1053 0.1679 0.8321
Dy2 0.1053 0.1679 0.3357
Dy3 0.1173 0.6667 0.3333
Dy4 0.4611 0.8321 0.1679
Dy5 0.4611 0.3358 0.1679
Dy6 0.4611 0.8321 0.6642
Dy7 0.1053 0.6643 0.8321
Sc1 0.7833 0.5001 0.4999
Sc2 0.7833 0.5001 0.0003
Sc3 0.7833 0.9997 0.4999

=====

4.
The following is a DFT calculation (GGA-PBE) of a geometry-optimized Fe4NiN structure.

Values from the calculation:
uncorrected formation energy: 0.33 eV per atom
space group: Pnc2

a = 5.6639 Å, b = 4.6199 Å, c = 5.6575 Å
α = 90.00°, β = 90.00°, γ = 90.00°
Site moments in Bohr magnetons follow the coordinates.
Atoms (fractional coordinates):
Fe1 0.3399 0.7253 0.0899  2.30
Fe2 0.1603 0.2760 0.9097  2.30
Fe3 0.3397 0.2760 0.4097  2.30
Fe4 0.1601 0.7253 0.5899  2.30
Fe5 0.6603 0.7240 0.4097  2.30
Fe6 0.8399 0.2747 0.5899  2.30
Fe7 0.6601 0.2747 0.0899  2.30
Fe8 0.8397 0.7240 0.9097  2.30
Ni1 0.0000 0.5000 0.2499  0.82
Ni2 0.5000 0.5000 0.7499  0.82
N1 0.0000 0.0000 0.7509  -0.12
N2 0.5000 0.0000 0.2509  -0.12

=====

5.
The following is a DFT calculation (GGA-PBE) of a geometry-optimized CaMgMn structure.

Values from the calculation:
DFT total energy: -3.780 eV per atom
space group: P3m1

a = 3.3662 Å, b = 3.3662 Å, c = 7.5794 Å
α = 90.00°, β = 90.00°, γ = 120.00°
Site moments in Bohr magnetons follow the coordinates.
Atoms (fractional coordinates):
Ca1 0.0000 0.0000 0.9845  -0.09
Mg1 0.3333 0.6667 0.3651  -0.02
Mn1 0.6667 0.3333 0.6504  3.79

=====

6.
The following is a DFT calculation (GGA-PBE) of a geometry-optimized Si2PIr structure.

Values from the calculation:
energy above the most stable polymorph in this dataset: 0.316 eV per atom
uncorrected formation energy: 0.06 eV per atom
space group: C2/m

a = 4.1180 Å, b = 4.1180 Å, c = 6.0493 Å
α = 66.68°, β = 66.68°, γ = 42.77°
Atoms (fractional coordinates):
Ir1 0.7500 0.7500 0.7500
P1 0.2500 0.2500 0.2500
Si1 0.9705 0.9705 0.9553
Si2 0.5295 0.5295 0.5447

=====

7.
The following is a DFT calculation (GGA-PBE) of a geometry-optimized Co2AgTe structure.

Values from the calculation:
uncorrected formation energy: 0.45 eV per atom
space group: Imm2

a = 5.4402 Å, b = 5.4402 Å, c = 5.4402 Å
α = 146.61°, β = 131.80°, γ = 59.90°
Site moments in Bohr magnetons follow the coordinates.
Atoms (fractional coordinates):
Ag1 0.2463 0.7463 0.5000  -0.01
Co1 0.9559 0.9559 0.0000  1.48
Co2 0.7640 0.2640 0.5000  1.41
Te1 0.5338 0.5338 0.0000  -0.01

=====

8.
The following is a DFT calculation (GGA-PBE) of a geometry-optimized ErBi2S4 structure.

Values from the calculation:
uncorrected formation energy: -0.83 eV per atom
space group: Cmcm

a = 3.7056 Å, b = 7.4909 Å, c = 13.0887 Å
α = 90.00°, β = 90.00°, γ = 104.32°
Atoms (fractional coordinates):
Er1 0.6138 0.2276 0.7500
Er2 0.3862 0.7724 0.2500
Bi1 0.1312 0.2624 0.4280
Bi2 0.8688 0.7376 0.9280
Bi3 0.1312 0.2624 0.0720
Bi4 0.8688 0.7376 0.5720
S1 0.7987 0.5974 0.1239
S2 0.7987 0.5974 0.3761
S3 0.2013 0.4026 0.8761
S4 0.2013 0.4026 0.6239
S5 0.9788 0.9576 0.7500
S6 0.0212 0.0424 0.2500
S7 0.5000 0.0000 0.0000
S8 0.5000 0.0000 0.5000

=====

9.
The following is a DFT calculation (GGA-PBE) of a geometry-optimized CuReMoAs2 structure.

Values from the calculation:
DFT total energy: -6.152 eV per atom
space group: P4/mmm

a = 4.7304 Å, b = 4.8163 Å, c = 4.7304 Å
α = 90.00°, β = 90.00°, γ = 90.00°
Site moments in Bohr magnetons follow the coordinates.
Atoms (fractional coordinates):
Re1 0.0000 0.0000 0.0000  0.37
Mo1 0.5000 0.5000 0.5000  3.47
As1 0.0000 0.0000 0.5000  -0.07
As2 0.5000 0.0000 0.0000  -0.05
Cu1 0.0000 0.5000 0.0000  0.03

=====

10.
The following is a DFT calculation (GGA-PBE) of a geometry-optimized TbCd3Hg2 structure.

Values from the calculation:
energy above the most stable polymorph in this dataset: 0.015 eV per atom
space group: C2/m

a = 4.6387 Å, b = 9.5188 Å, c = 7.6193 Å
α = 117.97°, β = 90.00°, γ = 104.10°
Atoms (fractional coordinates):
Tb1 0.8837 0.7674 0.9495
Tb2 0.1163 0.2326 0.0505
Cd1 0.3030 0.6060 0.5323
Cd2 0.9266 0.8532 0.5448
Cd3 0.6261 0.2521 0.7457
Cd4 0.3739 0.7479 0.2543
Cd5 0.0734 0.1468 0.4552
Cd6 0.6970 0.3940 0.4677
Hg1 0.4826 0.9653 0.7968
Hg2 0.5174 0.0347 0.2032
Hg3 0.7569 0.5138 0.1746
Hg4 0.2431 0.4862 0.8254

=====

11.
The following is a DFT calculation (GGA-PBE) of a geometry-optimized ScTiO2 structure.

Values from the calculation:
energy above the most stable polymorph in this dataset: 0.203 eV per atom
uncorrected formation energy: -2.46 eV per atom
space group: I-42d

a = 4.7543 Å, b = 4.7543 Å, c = 5.8322 Å
α = 65.95°, β = 65.95°, γ = 90.00°
Atoms (fractional coordinates):
Sc1 0.5000 0.5000 0.0000
Sc2 0.2500 0.7500 0.5000
O1 0.6392 0.1250 0.2500
O2 0.1108 0.6250 0.2500
O3 0.3750 0.3608 0.7500
O4 0.8750 0.8892 0.7500
Ti1 0.0000 0.0000 0.0000
Ti2 0.7500 0.2500 0.5000

=====

12.
The following is a DFT calculation (GGA-PBE) of a geometry-optimized Th4BiTe4 structure.

Values from the calculation:
uncorrected formation energy: -1.01 eV per atom
space group: C2/m

a = 4.4117 Å, b = 7.7863 Å, c = 9.9214 Å
α = 77.16°, β = 77.15°, γ = 73.54°
Atoms (fractional coordinates):
Th1 0.2920 0.1164 0.2995
Th2 0.7080 0.8836 0.7005
Th3 0.8816 0.3202 0.9167
Th4 0.1184 0.6798 0.0833
Bi1 0.5000 0.0000 0.0000
Te1 0.6739 0.4175 0.2346
Te2 0.9019 0.8065 0.3897
Te3 0.3261 0.5825 0.7654
Te4 0.0981 0.1935 0.6103